No. 1
This record from the Alexandria database describes a relaxed Li3CdPb crystal. The functional is GGA-PBEsol.

a = 4.8911 Å, b = 4.8911 Å, c = 4.8911 Å
α = 90.00°, β = 90.00°, γ = 90.00°
Atoms (fractional coordinates):
Li 0.0000 0.0000 0.5000
Li 0.0000 0.5000 0.0000
Li 0.5000 0.0000 0.0000
Cd 0.0000 0.0000 0.0000
Pb 0.5000 0.5000 0.5000

Computed properties:
Energy relative to the lowest polymorph listed for this composition: 0 meV per atom



No. 2
This record from the Alexandria database describes a relaxed LiCdPb crystal. The functional is GGA-PBEsol.

a = 3.3806 Å, b = 4.2947 Å, c = 9.2639 Å
α = 90.00°, β = 90.00°, γ = 90.00°
Atoms (fractional coordinates):
Li 0.0000 0.0000 0.0000
Li 0.5000 0.5000 0.5000
Cd 0.0000 0.0000 0.3404
Cd 0.5000 0.5000 0.8404
Pb 0.0000 0.0000 0.6694
Pb 0.5000 0.5000 0.1694

Computed properties:
Energy relative to the lowest polymorph listed for this composition: 3 meV per atom



No. 3
This record from the Alexandria database describes a relaxed LiCd4Pb crystal. The functional is GGA-PBEsol.

a = 5.7964 Å, b = 5.7964 Å, c = 5.7964 Å
α = 60.00°, β = 60.00°, γ = 60.00°
Atoms (fractional coordinates):
Li 0.0000 0.0000 0.0000
Cd 0.3744 0.3744 0.3744
Cd 0.3744 0.3744 0.8769
Cd 0.3744 0.8769 0.3744
Cd 0.8769 0.3744 0.3744
Pb 0.7500 0.7500 0.7500



No. 4
This record from the Alexandria database describes a relaxed Li2CdPb2 crystal. The functional is GGA-PBEsol.

a = 4.1612 Å, b = 4.1612 Å, c = 13.5752 Å
α = 90.00°, β = 90.00°, γ = 90.00°
Atoms (fractional coordinates):
Li 0.0000 0.5000 0.2500
Li 0.0000 0.5000 0.7500
Li 0.5000 0.0000 0.2500
Li 0.5000 0.0000 0.7500
Cd 0.0000 0.0000 0.0000
Cd 0.5000 0.5000 0.5000
Pb 0.0000 0.0000 0.3935
Pb 0.0000 0.0000 0.6065
Pb 0.5000 0.5000 0.1065
Pb 0.5000 0.5000 0.8935

Computed properties:
Energy relative to the lowest polymorph listed for this composition: 150 meV per atom



No. 5
This record from the Alexandria database describes a relaxed Li2CdPt crystal. The functional is GGA-PBEsol.

a = 9.2991 Å, b = 2.8834 Å, c = 4.6444 Å
α = 90.00°, β = 103.16°, γ = 90.00°
Atoms (fractional coordinates):
Li 0.0000 0.0000 0.0000
Li 0.2382 0.0000 0.7320
Li 0.5000 0.5000 0.0000
Li 0.7382 0.5000 0.7320
Cd 0.2526 0.5000 0.2507
Cd 0.7526 0.0000 0.2507
Pt 0.0051 0.5000 0.5140
Pt 0.5051 0.0000 0.5140



No. 6
This record from the Alexandria database describes a relaxed Li2CdPt crystal. The functional is GGA-PBEsol.

a = 2.8147 Å, b = 2.8147 Å, c = 27.2552 Å
α = 90.00°, β = 90.00°, γ = 120.00°
Atoms (fractional coordinates):
Li 0.0000 0.0000 0.2408
Li 0.0000 0.0000 0.7592
Li 0.3333 0.6667 0.4259
Li 0.3333 0.6667 0.9075
Li 0.6667 0.3333 0.0925
Li 0.6667 0.3333 0.5741
Cd 0.0000 0.0000 0.0000
Cd 0.3333 0.6667 0.6667
Cd 0.6667 0.3333 0.3333
Pt 0.0000 0.0000 0.5000
Pt 0.3333 0.6667 0.1667
Pt 0.6667 0.3333 0.8333



No. 7
This record from the Alexandria database describes a relaxed LiCd2Pt2 crystal. The functional is GGA-PBEsol.

a = 7.8424 Å, b = 7.8424 Å, c = 2.9493 Å
α = 90.00°, β = 90.00°, γ = 90.00°
Atoms (fractional coordinates):
Li 0.0000 0.0000 0.0000
Li 0.5000 0.5000 0.0000
Cd 0.1690 0.3310 0.5000
Cd 0.3310 0.8310 0.5000
Cd 0.6690 0.1690 0.5000
Cd 0.8310 0.6690 0.5000
Pt 0.1285 0.6285 0.0000
Pt 0.3715 0.1285 0.0000
Pt 0.6285 0.8715 0.0000
Pt 0.8715 0.3715 0.0000



No. 8
This record from the Alexandria database describes a relaxed Li2CdPt crystal. The functional is GGA-PBEsol.

a = 3.9840 Å, b = 3.9840 Å, c = 7.6617 Å
α = 90.00°, β = 90.00°, γ = 90.00°
Atoms (fractional coordinates):
Li 0.0000 0.0000 0.0000
Li 0.0000 0.5000 0.2500
Li 0.5000 0.0000 0.7500
Li 0.5000 0.5000 0.5000
Cd 0.0000 0.0000 0.5000
Cd 0.5000 0.5000 0.0000
Pt 0.0000 0.5000 0.7500
Pt 0.5000 0.0000 0.2500



No. 9
This record from the Alexandria database describes a relaxed Li2CdPt crystal. The functional is GGA-PBEsol.

a = 2.7731 Å, b = 4.1862 Å, c = 5.3430 Å
α = 90.00°, β = 104.48°, γ = 90.00°
Atoms (fractional coordinates):
Li 0.0000 0.0000 0.0000
Li 0.1383 0.5000 0.2581
Cd 0.3791 0.5000 0.7478
Pt 0.7392 0.0000 0.4665



No. 10
This record from the Alexandria database describes a relaxed Li2CdPt crystal. The functional is GGA-PBEsol.

a = 3.9385 Å, b = 3.9385 Å, c = 3.8477 Å
α = 90.00°, β = 90.00°, γ = 90.00°
Atoms (fractional coordinates):
Li 0.0000 0.5000 0.0000
Li 0.5000 0.0000 0.0000
Cd 0.0000 0.0000 0.5000
Pt 0.5000 0.5000 0.5000



No. 11
This record from the Alexandria database describes a relaxed Li2CdPt crystal. The functional is GGA-PBEsol.

a = 3.9859 Å, b = 3.9859 Å, c = 7.4043 Å
α = 90.00°, β = 90.00°, γ = 90.00°
Atoms (fractional coordinates):
Li 0.0000 0.5000 0.2500
Li 0.0000 0.5000 0.7500
Li 0.5000 0.0000 0.2500
Li 0.5000 0.0000 0.7500
Cd 0.0000 0.0000 0.0000
Cd 0.5000 0.5000 0.5000
Pt 0.0000 0.0000 0.5000
Pt 0.5000 0.5000 0.0000



No. 12
This record from the Alexandria database describes a relaxed Li2CdPt crystal. The functional is GGA-PBEsol.

a = 2.8237 Å, b = 3.7734 Å, c = 5.6030 Å
α = 90.00°, β = 90.00°, γ = 90.00°
Atoms (fractional coordinates):
Li 0.0000 0.0000 0.2163
Li 0.0000 0.0000 0.7837
Cd 0.5000 0.5000 0.5000
Pt 0.5000 0.5000 0.0000



No. 13
This record from the Alexandria database describes a relaxed Li2CdPt crystal. The functional is GGA-PBEsol.

a = 2.8516 Å, b = 2.8516 Å, c = 28.1192 Å
α = 90.00°, β = 90.00°, γ = 120.00°
Atoms (fractional coordinates):
Li 0.0000 0.0000 0.0000
Li 0.0000 0.0000 0.2405
Li 0.3333 0.6667 0.6667
Li 0.3333 0.6667 0.9072
Li 0.6667 0.3333 0.3333
Li 0.6667 0.3333 0.5739
Cd 0.0000 0.0000 0.4893
Cd 0.3333 0.6667 0.1560
Cd 0.6667 0.3333 0.8226
Pt 0.0000 0.0000 0.7377
Pt 0.3333 0.6667 0.4044
Pt 0.6667 0.3333 0.0710



No. 14
This record from the Alexandria database describes a relaxed Li2CdPt crystal. The functional is GGA-PBEsol.

a = 2.8142 Å, b = 4.0047 Å, c = 5.5085 Å
α = 90.00°, β = 90.00°, γ = 90.00°
Atoms (fractional coordinates):
Li 0.0000 0.0000 0.0000
Li 0.5000 0.5000 0.2632
Cd 0.5000 0.5000 0.7385
Pt 0.0000 0.0000 0.4765



No. 15
This record from the Alexandria database describes a relaxed Li2CdPt crystal. The functional is GGA-PBEsol.

a = 9.1440 Å, b = 2.9069 Å, c = 4.7771 Å
α = 90.00°, β = 103.14°, γ = 90.00°
Atoms (fractional coordinates):
Li 0.2381 0.0000 0.2205
Li 0.2619 0.5000 0.7795
Li 0.7381 0.5000 0.2205
Li 0.7619 0.0000 0.7795
Cd 0.0000 0.0000 0.5000
Cd 0.5000 0.5000 0.5000
Pt 0.0000 0.5000 0.0000
Pt 0.5000 0.0000 0.0000



No. 16
This record from the Alexandria database describes a relaxed Li2CdPt crystal. The functional is GGA-PBEsol.

a = 6.2885 Å, b = 6.2885 Å, c = 6.2885 Å
α = 90.00°, β = 90.00°, γ = 90.00°
Atoms (fractional coordinates):
Li 0.0000 0.0000 0.0000
Li 0.0000 0.5000 0.5000
Li 0.2500 0.2500 0.2500
Li 0.2500 0.7500 0.7500
Li 0.5000 0.0000 0.5000
Li 0.5000 0.5000 0.0000
Li 0.7500 0.2500 0.7500
Li 0.7500 0.7500 0.2500
Cd 0.0000 0.0000 0.5000
Cd 0.0000 0.5000 0.0000
Cd 0.5000 0.0000 0.0000
Cd 0.5000 0.5000 0.5000
Pt 0.2500 0.2500 0.7500
Pt 0.2500 0.7500 0.2500
Pt 0.7500 0.2500 0.2500
Pt 0.7500 0.7500 0.7500



No. 17
This record from the Alexandria database describes a relaxed Li2CdPt crystal. The functional is GGA-PBEsol.

a = 4.6462 Å, b = 2.9202 Å, c = 4.7182 Å
α = 90.00°, β = 105.78°, γ = 90.00°
Atoms (fractional coordinates):
Li 0.0000 0.0000 0.0000
Li 0.0000 0.5000 0.5000
Cd 0.5000 0.0000 0.5000
Pt 0.5000 0.5000 0.0000



No. 18
This record from the Alexandria database describes a relaxed RbLi3Cd crystal. The functional is GGA-PBEsol.

a = 5.4354 Å, b = 5.4354 Å, c = 5.4354 Å
α = 90.00°, β = 90.00°, γ = 90.00°
Atoms (fractional coordinates):
Rb 0.0000 0.0000 0.0000
Li 0.0000 0.5000 0.5000
Li 0.5000 0.0000 0.5000
Li 0.5000 0.5000 0.0000
Cd 0.5000 0.5000 0.5000



No. 19
This record from the Alexandria database describes a relaxed RbLiCd3 crystal. The functional is GGA-PBEsol.

a = 5.2152 Å, b = 5.2152 Å, c = 5.2152 Å
α = 90.00°, β = 90.00°, γ = 90.00°
Atoms (fractional coordinates):
Rb 0.0000 0.0000 0.0000
Li 0.5000 0.5000 0.5000
Cd 0.0000 0.5000 0.5000
Cd 0.5000 0.0000 0.5000
Cd 0.5000 0.5000 0.0000



No. 20
This record from the Alexandria database describes a relaxed Li3CdRe crystal. The functional is GGA-PBEsol.

a = 4.6154 Å, b = 4.6154 Å, c = 4.6154 Å
α = 90.00°, β = 90.00°, γ = 90.00°
Atoms (fractional coordinates):
Li 0.0000 0.0000 0.5000
Li 0.0000 0.5000 0.0000
Li 0.5000 0.0000 0.0000
Cd 0.0000 0.0000 0.0000
Re 0.5000 0.5000 0.5000



No. 21
This record from the Alexandria database describes a relaxed LiCd2Re crystal. The functional is GGA-PBEsol.

a = 10.5212 Å, b = 2.7491 Å, c = 5.0295 Å
α = 90.00°, β = 113.33°, γ = 90.00°
Atoms (fractional coordinates):
Li 0.0000 0.0000 0.0000
Li 0.5000 0.5000 0.0000
Cd 0.0078 0.5000 0.5164
Cd 0.2540 0.5000 0.0764
Cd 0.5078 0.0000 0.5164
Cd 0.7540 0.0000 0.0764
Re 0.2545 0.0000 0.5749
Re 0.7545 0.5000 0.5749

Computed properties:
Energy relative to the lowest polymorph listed for this composition: 0 meV per atom



No. 22
This record from the Alexandria database describes a relaxed LiCd2Re crystal. The functional is GGA-PBEsol.

a = 4.5867 Å, b = 4.5867 Å, c = 6.5010 Å
α = 90.00°, β = 90.00°, γ = 90.00°
Atoms (fractional coordinates):
Li 0.0000 0.0000 0.0000
Li 0.5000 0.5000 0.5000
Cd 0.0000 0.5000 0.2500
Cd 0.0000 0.5000 0.7500
Cd 0.5000 0.0000 0.2500
Cd 0.5000 0.0000 0.7500
Re 0.0000 0.0000 0.5000
Re 0.5000 0.5000 0.0000

Computed properties:
Energy relative to the lowest polymorph listed for this composition: 240 meV per atom



No. 23
This record from the Alexandria database describes a relaxed LiCdRe crystal. The functional is GGA-PBEsol.

a = 2.5661 Å, b = 4.3207 Å, c = 8.6155 Å
α = 90.00°, β = 90.00°, γ = 90.00°
Atoms (fractional coordinates):
Li 0.0000 0.0000 0.0000
Li 0.5000 0.5000 0.5000
Cd 0.0000 0.0000 0.3355
Cd 0.5000 0.5000 0.8355
Re 0.0000 0.0000 0.6663
Re 0.5000 0.5000 0.1663



No. 24
This record from the Alexandria database describes a relaxed Li2CdRh crystal. The functional is GGA-PBEsol.

a = 2.7203 Å, b = 3.9778 Å, c = 5.4938 Å
α = 90.00°, β = 90.00°, γ = 90.00°
Atoms (fractional coordinates):
Li 0.0000 0.0000 0.2184
Li 0.0000 0.0000 0.7816
Cd 0.5000 0.5000 0.5000
Rh 0.5000 0.5000 0.0000



No. 25
This record from the Alexandria database describes a relaxed Li2CdRh crystal. The functional is GGA-PBEsol.

a = 3.4254 Å, b = 4.1500 Å, c = 8.1248 Å
α = 90.00°, β = 90.00°, γ = 90.00°
Atoms (fractional coordinates):
Li 0.0000 0.0000 0.0000
Li 0.0000 0.5000 0.2601
Li 0.5000 0.0000 0.7601
Li 0.5000 0.5000 0.5000
Cd 0.0000 0.0000 0.5076
Cd 0.5000 0.5000 0.0076
Rh 0.0000 0.5000 0.7440
Rh 0.5000 0.0000 0.2440



No. 26
This record from the Alexandria database describes a relaxed Li2CdRh crystal. The functional is GGA-PBEsol.

a = 5.3839 Å, b = 8.9158 Å, c = 2.8738 Å
α = 90.00°, β = 118.56°, γ = 90.00°
Atoms (fractional coordinates):
Li 0.2500 0.2500 0.0000
Li 0.2500 0.7500 0.0000
Li 0.7500 0.2500 0.0000
Li 0.7500 0.7500 0.0000
Cd 0.0000 0.0000 0.5000
Cd 0.5000 0.5000 0.5000
Rh 0.0000 0.5000 0.5000
Rh 0.5000 0.0000 0.5000



No. 27
This record from the Alexandria database describes a relaxed Li2CdRh crystal. The functional is GGA-PBEsol.

a = 3.1833 Å, b = 3.1833 Å, c = 5.9836 Å
α = 90.00°, β = 90.00°, γ = 90.00°
Atoms (fractional coordinates):
Li 0.0000 0.0000 0.0000
Li 0.5000 0.5000 0.2539
Cd 0.5000 0.5000 0.7160
Rh 0.0000 0.0000 0.4563



No. 28
This record from the Alexandria database describes a relaxed Li2CdRh crystal. The functional is GGA-PBEsol.

a = 2.7218 Å, b = 4.1950 Å, c = 5.3658 Å
α = 90.00°, β = 103.47°, γ = 90.00°
Atoms (fractional coordinates):
Li 0.0000 0.0000 0.0000
Li 0.2767 0.5000 0.2546
Cd 0.4210 0.5000 0.7403
Rh 0.8181 0.0000 0.4792



No. 29
This record from the Alexandria database describes a relaxed Li2CdRh crystal. The functional is GGA-PBEsol.

a = 6.2211 Å, b = 6.2211 Å, c = 6.2211 Å
α = 90.00°, β = 90.00°, γ = 90.00°
Atoms (fractional coordinates):
Li 0.0000 0.0000 0.0000
Li 0.0000 0.5000 0.5000
Li 0.2500 0.2500 0.2500
Li 0.2500 0.7500 0.7500
Li 0.5000 0.0000 0.5000
Li 0.5000 0.5000 0.0000
Li 0.7500 0.2500 0.7500
Li 0.7500 0.7500 0.2500
Cd 0.2500 0.2500 0.7500
Cd 0.2500 0.7500 0.2500
Cd 0.7500 0.2500 0.2500
Cd 0.7500 0.7500 0.7500
Rh 0.0000 0.0000 0.5000
Rh 0.0000 0.5000 0.0000
Rh 0.5000 0.0000 0.0000
Rh 0.5000 0.5000 0.5000



No. 30
This record from the Alexandria database describes a relaxed Li2CdRh crystal. The functional is GGA-PBEsol.

a = 3.8657 Å, b = 3.8657 Å, c = 3.9086 Å
α = 90.00°, β = 90.00°, γ = 90.00°
Atoms (fractional coordinates):
Li 0.0000 0.5000 0.0000
Li 0.5000 0.0000 0.0000
Cd 0.0000 0.0000 0.5000
Rh 0.5000 0.5000 0.5000



Record-wise total magnetization values, in μB per formula unit: 0.0, 0.0, 0.0, 0.0, 0.0, 0.0, 0.0, 0.0, 0.0, 0.0, 0.0, 0.0, 0.0, 0.0, 0.0, 0.0, 0.0, 0.0, 0.0, 2.9, 0.0, 1.8, 0.4, 0.4, 0.0, 0.0, 0.0, 0.1, 0.0, 0.0
Record-wise calculated formation energy values, in eV per atom: 0.103, -0.150, -0.059, 0.003, -0.372, -0.326, -0.303, -0.431, -0.375, -0.398, -0.420, -0.399, -0.210, -0.369, -0.385, -0.427, -0.357, 0.083, 0.092, 1.349, 0.314, 0.555, 0.612, -0.102, -0.147, -0.115, -0.103, -0.104, -0.169, -0.161